Below is NiAgF3 after structural relaxation, with properties calculated at the PBE with a Hubbard U level.

Cell lengths 16.894, 3.897, 4.059 Å; angles 90.00, 103.75, 90.00 degrees
Space group C2/m (No. 12)
Asymmetric unit:
Ni: 0.176 0.000 0.424 (multiplicity 4)
Ag: 0.062 0.500 0.811 (multiplicity 4)
F: 0.055 0.000 0.305 (multiplicity 4)
F: 0.164 0.000 0.912 (multiplicity 4)
F: 0.196 0.500 0.446 (multiplicity 4)

Properties
The calculation puts the total energy at -76.511 eV/cell. The size of the total moment is 0.414 μB per atom. Its calculated density is 5.72 g/cm3.